1.
# ScSF | the Alexandria database | GGA-PBE | optimized geometry
# E_form (uncorrected): -2.629 eV per atom
data_ScSF
_symmetry_space_group_name_H-M 'C 1 2/m 1'
_symmetry_Int_Tables_number 12
_symmetry_space_group_name_Hall '-C 2y'
_cell_length_a 12.1615
_cell_length_b 3.5593
_cell_length_c 5.9217
_cell_angle_alpha 90.00
_cell_angle_beta 99.77
_cell_angle_gamma 90.00
loop_
_atom_site_label
_atom_site_type_symbol
_atom_site_fract_x
_atom_site_fract_y
_atom_site_fract_z
_atom_site_occupancy
Sc1 Sc 0.0000 0.0000 0.0000 1
Sc2 Sc 0.0000 0.5000 0.5000 1
S1 S 0.1248 0.0000 0.7114 1
F1 F 0.0728 0.5000 0.1856 1

2.
# ScSF2 | the Alexandria database | GGA-PBE | optimized geometry
# E_form (uncorrected): -1.754 eV per atom
data_ScSF2
_symmetry_space_group_name_H-M 'F m -3 m'
_symmetry_Int_Tables_number 225
_symmetry_space_group_name_Hall '-F 4 2 3'
_cell_length_a 5.9131
_cell_length_b 5.9131
_cell_length_c 5.9131
_cell_angle_alpha 90.00
_cell_angle_beta 90.00
_cell_angle_gamma 90.00
loop_
_atom_site_label
_atom_site_type_symbol
_atom_site_fract_x
_atom_site_fract_y
_atom_site_fract_z
_atom_site_occupancy
Sc1 Sc 0.0000 0.0000 0.0000 1
S1 S 0.0000 0.0000 0.5000 1
F1 F 0.2500 0.2500 0.2500 1

3.
# ScTlS2F | the Alexandria database | GGA-PBE | optimized geometry
# E_form (uncorrected): -1.623 eV per atom
data_ScTlS2F
_symmetry_space_group_name_H-M 'P 4/m m m'
_symmetry_Int_Tables_number 123
_symmetry_space_group_name_Hall '-P 4 2'
_cell_length_a 5.0857
_cell_length_b 5.0857
_cell_length_c 4.0791
_cell_angle_alpha 90.00
_cell_angle_beta 90.00
_cell_angle_gamma 90.00
loop_
_atom_site_label
_atom_site_type_symbol
_atom_site_fract_x
_atom_site_fract_y
_atom_site_fract_z
_atom_site_occupancy
Sc1 Sc 0.0000 0.0000 0.0000 1
Tl1 Tl 0.5000 0.5000 0.5000 1
S1 S 0.0000 0.5000 0.0000 1
F1 F 0.0000 0.0000 0.5000 1

4.
# SeS5F | the Alexandria database | GGA-PBE | optimized geometry
# E_form (uncorrected): -0.160 eV per atom
data_SeS5F
_symmetry_space_group_name_H-M 'C 1 c 1'
_symmetry_Int_Tables_number 9
_symmetry_space_group_name_Hall 'C -2yc'
_cell_length_a 6.3974
_cell_length_b 14.1272
_cell_length_c 9.2002
_cell_angle_alpha 90.00
_cell_angle_beta 110.10
_cell_angle_gamma 90.00
loop_
_atom_site_label
_atom_site_type_symbol
_atom_site_fract_x
_atom_site_fract_y
_atom_site_fract_z
_atom_site_occupancy
Se1 Se 0.0000 0.2449 0.0000 1
S1 S 0.2601 0.3742 0.7962 1
S2 S 0.2710 0.0308 0.4149 1
S3 S 0.2886 0.2492 0.9094 1
S4 S 0.4691 0.4702 0.9499 1
S5 S 0.4921 0.1082 0.5889 1
F1 F 0.2448 0.2418 0.2568 1

5.
# SeS4F | the Alexandria database | GGA-PBE | optimized geometry
# E_form (uncorrected): -0.063 eV per atom
data_SeS4F
_symmetry_space_group_name_H-M 'P -1'
_symmetry_Int_Tables_number 2
_symmetry_space_group_name_Hall '-P 1'
_cell_length_a 5.8593
_cell_length_b 6.7088
_cell_length_c 8.3568
_cell_angle_alpha 84.47
_cell_angle_beta 77.44
_cell_angle_gamma 77.30
loop_
_atom_site_label
_atom_site_type_symbol
_atom_site_fract_x
_atom_site_fract_y
_atom_site_fract_z
_atom_site_occupancy
Se1 Se 0.0000 0.0000 0.0000 1
Se2 Se 0.5000 0.5000 0.5000 1
S1 S 0.0404 0.9022 0.7127 1
S2 S 0.1009 0.5439 0.3675 1
S3 S 0.1542 0.5947 0.7284 1
S4 S 0.4333 0.9867 0.9055 1
F1 F 0.3068 0.4701 0.1938 1

6.
# Se3SF | the Alexandria database | GGA-PBE | optimized geometry
# E_form (uncorrected): 0.876 eV per atom
data_Se3SF
_symmetry_space_group_name_H-M 'P m -3 m'
_symmetry_Int_Tables_number 221
_symmetry_space_group_name_Hall '-P 4 2 3'
_cell_length_a 4.6426
_cell_length_b 4.6426
_cell_length_c 4.6426
_cell_angle_alpha 90.00
_cell_angle_beta 90.00
_cell_angle_gamma 90.00
loop_
_atom_site_label
_atom_site_type_symbol
_atom_site_fract_x
_atom_site_fract_y
_atom_site_fract_z
_atom_site_occupancy
Se1 Se 0.0000 0.0000 0.5000 1
S1 S 0.5000 0.5000 0.5000 1
F1 F 0.0000 0.0000 0.0000 1

7.
# SeSF3 | the Alexandria database | GGA-PBE | optimized geometry
# E_form (uncorrected): -0.305 eV per atom
data_SeSF3
_symmetry_space_group_name_H-M 'P m -3 m'
_symmetry_Int_Tables_number 221
_symmetry_space_group_name_Hall '-P 4 2 3'
_cell_length_a 4.3088
_cell_length_b 4.3088
_cell_length_c 4.3088
_cell_angle_alpha 90.00
_cell_angle_beta 90.00
_cell_angle_gamma 90.00
loop_
_atom_site_label
_atom_site_type_symbol
_atom_site_fract_x
_atom_site_fract_y
_atom_site_fract_z
_atom_site_occupancy
Se1 Se 0.0000 0.0000 0.0000 1
S1 S 0.5000 0.5000 0.5000 1
F1 F 0.0000 0.0000 0.5000 1

8.
# Se3SF | the Alexandria database | GGA-PBE | optimized geometry
# E_form (uncorrected): 0.559 eV per atom
data_Se3SF
_symmetry_space_group_name_H-M 'P m -3 m'
_symmetry_Int_Tables_number 221
_symmetry_space_group_name_Hall '-P 4 2 3'
_cell_length_a 4.8153
_cell_length_b 4.8153
_cell_length_c 4.8153
_cell_angle_alpha 90.00
_cell_angle_beta 90.00
_cell_angle_gamma 90.00
loop_
_atom_site_label
_atom_site_type_symbol
_atom_site_fract_x
_atom_site_fract_y
_atom_site_fract_z
_atom_site_occupancy
Se1 Se 0.0000 0.0000 0.5000 1
S1 S 0.0000 0.0000 0.0000 1
F1 F 0.5000 0.5000 0.5000 1

9.
# SeSF3 | the Alexandria database | GGA-PBE | optimized geometry
# E_form (uncorrected): -0.141 eV per atom
data_SeSF3
_symmetry_space_group_name_H-M 'P m -3 m'
_symmetry_Int_Tables_number 221
_symmetry_space_group_name_Hall '-P 4 2 3'
_cell_length_a 4.2845
_cell_length_b 4.2845
_cell_length_c 4.2845
_cell_angle_alpha 90.00
_cell_angle_beta 90.00
_cell_angle_gamma 90.00
loop_
_atom_site_label
_atom_site_type_symbol
_atom_site_fract_x
_atom_site_fract_y
_atom_site_fract_z
_atom_site_occupancy
Se1 Se 0.0000 0.0000 0.0000 1
S1 S 0.5000 0.5000 0.5000 1
F1 F 0.0000 0.5000 0.5000 1

10.
# SnSeS2F | the Alexandria database | GGA-PBE | optimized geometry
# E_form (uncorrected): 0.325 eV per atom
data_SnSeS2F
_symmetry_space_group_name_H-M 'P 4/m m m'
_symmetry_Int_Tables_number 123
_symmetry_space_group_name_Hall '-P 4 2'
_cell_length_a 4.8574
_cell_length_b 4.8574
_cell_length_c 4.2645
_cell_angle_alpha 90.00
_cell_angle_beta 90.00
_cell_angle_gamma 90.00
loop_
_atom_site_label
_atom_site_type_symbol
_atom_site_fract_x
_atom_site_fract_y
_atom_site_fract_z
_atom_site_occupancy
Sn1 Sn 0.0000 0.0000 0.0000 1
Se1 Se 0.5000 0.5000 0.0000 1
S1 S 0.0000 0.5000 0.5000 1
F1 F 0.5000 0.5000 0.5000 1

11.
# SrSeS2F | the Alexandria database | GGA-PBE | optimized geometry
# E_form (uncorrected): -0.392 eV per atom
data_SrSeS2F
_symmetry_space_group_name_H-M 'P 4/m m m'
_symmetry_Int_Tables_number 123
_symmetry_space_group_name_Hall '-P 4 2'
_cell_length_a 5.7247
_cell_length_b 5.7247
_cell_length_c 4.4128
_cell_angle_alpha 90.00
_cell_angle_beta 90.00
_cell_angle_gamma 90.00
loop_
_atom_site_label
_atom_site_type_symbol
_atom_site_fract_x
_atom_site_fract_y
_atom_site_fract_z
_atom_site_occupancy
Sr1 Sr 0.0000 0.0000 0.0000 1
Se1 Se 0.5000 0.5000 0.5000 1
S1 S 0.0000 0.5000 0.0000 1
F1 F 0.0000 0.0000 0.5000 1

12.
# TeSeSF2 | the Alexandria database | GGA-PBE | optimized geometry
# E_form (uncorrected): -0.559 eV per atom
data_TeSeSF2
_symmetry_space_group_name_H-M 'P 4/m m m'
_symmetry_Int_Tables_number 123
_symmetry_space_group_name_Hall '-P 4 2'
_cell_length_a 4.1912
_cell_length_b 4.1912
_cell_length_c 5.9684
_cell_angle_alpha 90.00
_cell_angle_beta 90.00
_cell_angle_gamma 90.00
loop_
_atom_site_label
_atom_site_type_symbol
_atom_site_fract_x
_atom_site_fract_y
_atom_site_fract_z
_atom_site_occupancy
Te1 Te 0.0000 0.0000 0.0000 1
Se1 Se 0.0000 0.0000 0.5000 1
S1 S 0.5000 0.5000 0.5000 1
F1 F 0.0000 0.5000 0.0000 1

13.
# Tl6SeSF2 | the Alexandria database | GGA-PBE | optimized geometry
# E_form (uncorrected): -0.888 eV per atom
data_Tl6SeSF2
_symmetry_space_group_name_H-M 'P 1'
_symmetry_Int_Tables_number 1
_symmetry_space_group_name_Hall 'P 1'
_cell_length_a 7.2997
_cell_length_b 7.3088
_cell_length_c 7.4613
_cell_angle_alpha 89.69
_cell_angle_beta 64.27
_cell_angle_gamma 63.87
loop_
_atom_site_label
_atom_site_type_symbol
_atom_site_fract_x
_atom_site_fract_y
_atom_site_fract_z
_atom_site_occupancy
Tl1 Tl 0.0000 0.0000 0.0000 1
Tl2 Tl 0.0191 0.8168 0.5114 1
Tl3 Tl 0.2514 0.3753 0.9936 1
Tl4 Tl 0.2921 0.1416 0.4798 1
Tl5 Tl 0.6289 0.6522 0.9776 1
Tl6 Tl 0.6950 0.4181 0.4682 1
Se1 Se 0.7738 0.7693 0.2900 1
S1 S 0.4292 0.4283 0.2575 1
F1 F 0.2310 0.9723 0.2054 1
F2 F 0.3464 0.6391 0.8080 1

14.
# Tl6SeS2F | the Alexandria database | GGA-PBE | optimized geometry
# E_form (uncorrected): -0.546 eV per atom
data_Tl6SeS2F
_symmetry_space_group_name_H-M 'P 1'
_symmetry_Int_Tables_number 1
_symmetry_space_group_name_Hall 'P 1'
_cell_length_a 7.1145
_cell_length_b 7.4079
_cell_length_c 7.7398
_cell_angle_alpha 116.05
_cell_angle_beta 116.66
_cell_angle_gamma 91.79
loop_
_atom_site_label
_atom_site_type_symbol
_atom_site_fract_x
_atom_site_fract_y
_atom_site_fract_z
_atom_site_occupancy
Tl1 Tl 0.0000 0.0000 0.0000 1
Tl2 Tl 0.0007 0.6284 0.1979 1
Tl3 Tl 0.1412 0.5785 0.7602 1
Tl4 Tl 0.4410 0.1748 0.7685 1
Tl5 Tl 0.5112 0.4991 0.4231 1
Tl6 Tl 0.6985 0.9746 0.3772 1
Se1 Se 0.8537 0.2968 0.2815 1
S1 S 0.0872 0.2957 0.8871 1
S2 S 0.5629 0.6027 0.8699 1
F1 F 0.3779 0.1293 0.3266 1

15.
# Y2SeSF | the Alexandria database | GGA-PBE | optimized geometry
# E_form (uncorrected): -0.677 eV per atom
data_Y2SeSF
_symmetry_space_group_name_H-M 'P 4/m m m'
_symmetry_Int_Tables_number 123
_symmetry_space_group_name_Hall '-P 4 2'
_cell_length_a 5.3357
_cell_length_b 5.3357
_cell_length_c 5.0140
_cell_angle_alpha 90.00
_cell_angle_beta 90.00
_cell_angle_gamma 90.00
loop_
_atom_site_label
_atom_site_type_symbol
_atom_site_fract_x
_atom_site_fract_y
_atom_site_fract_z
_atom_site_occupancy
Y1 Y 0.0000 0.5000 0.0000 1
Se1 Se 0.0000 0.0000 0.0000 1
S1 S 0.0000 0.0000 0.5000 1
F1 F 0.5000 0.5000 0.5000 1

16.
# ZnSeSF2 | the Alexandria database | GGA-PBE | optimized geometry
# E_form (uncorrected): -1.021 eV per atom
data_ZnSeSF2
_symmetry_space_group_name_H-M 'P 4/m m m'
_symmetry_Int_Tables_number 123
_symmetry_space_group_name_Hall '-P 4 2'
_cell_length_a 3.7590
_cell_length_b 3.7590
_cell_length_c 6.7787
_cell_angle_alpha 90.00
_cell_angle_beta 90.00
_cell_angle_gamma 90.00
loop_
_atom_site_label
_atom_site_type_symbol
_atom_site_fract_x
_atom_site_fract_y
_atom_site_fract_z
_atom_site_occupancy
Zn1 Zn 0.0000 0.0000 0.0000 1
Se1 Se 0.0000 0.0000 0.5000 1
S1 S 0.5000 0.5000 0.5000 1
F1 F 0.0000 0.5000 0.0000 1

17.
# SiSF2 | the Alexandria database | GGA-PBE | optimized geometry
# E_form (uncorrected): -1.154 eV per atom
data_SiSF2
_symmetry_space_group_name_H-M 'R -3 m'
_symmetry_Int_Tables_number 166
_symmetry_space_group_name_Hall '-R 3 2"'
_cell_length_a 2.6620
_cell_length_b 2.6620
_cell_length_c 30.1131
_cell_angle_alpha 90.00
_cell_angle_beta 90.00
_cell_angle_gamma 120.00
loop_
_atom_site_label
_atom_site_type_symbol
_atom_site_fract_x
_atom_site_fract_y
_atom_site_fract_z
_atom_site_occupancy
Si1 Si 0.0000 0.0000 0.0000 1
S1 S 0.0000 0.0000 0.5000 1
F1 F 0.0000 0.0000 0.0542 1

18.
# SiS2F5 | the Alexandria database | GGA-PBE | optimized geometry
# E_form (uncorrected): -2.058 eV per atom
data_SiS2F5
_symmetry_space_group_name_H-M 'P -1'
_symmetry_Int_Tables_number 2
_symmetry_space_group_name_Hall '-P 1'
_cell_length_a 3.6692
_cell_length_b 5.8380
_cell_length_c 6.0831
_cell_angle_alpha 85.10
_cell_angle_beta 82.13
_cell_angle_gamma 87.22
loop_
_atom_site_label
_atom_site_type_symbol
_atom_site_fract_x
_atom_site_fract_y
_atom_site_fract_z
_atom_site_occupancy
Si1 Si 0.0000 0.0000 0.0000 1
S1 S 0.3270 0.3911 0.4998 1
F1 F 0.0057 0.2706 0.8761 1
F2 F 0.0658 0.8937 0.7515 1
F3 F 0.5000 0.0000 0.0000 1

19.
# SiSF2 | the Alexandria database | GGA-PBE | optimized geometry
# E_form (uncorrected): -2.181 eV per atom
data_SiSF2
_symmetry_space_group_name_H-M 'P n n a'
_symmetry_Int_Tables_number 52
_symmetry_space_group_name_Hall '-P 2a 2bc'
_cell_length_a 5.8057
_cell_length_b 4.9605
_cell_length_c 12.5347
_cell_angle_alpha 90.00
_cell_angle_beta 90.00
_cell_angle_gamma 90.00
loop_
_atom_site_label
_atom_site_type_symbol
_atom_site_fract_x
_atom_site_fract_y
_atom_site_fract_z
_atom_site_occupancy
Si1 Si 0.2500 0.0000 0.1626 1
S1 S 0.0199 0.2500 0.2500 1
F1 F 0.0823 0.6750 0.4113 1

20.
# SiS3F | the Alexandria database | GGA-PBE | optimized geometry
# E_form (uncorrected): 0.340 eV per atom
data_SiS3F
_symmetry_space_group_name_H-M 'P m -3 m'
_symmetry_Int_Tables_number 221
_symmetry_space_group_name_Hall '-P 4 2 3'
_cell_length_a 4.4077
_cell_length_b 4.4077
_cell_length_c 4.4077
_cell_angle_alpha 90.00
_cell_angle_beta 90.00
_cell_angle_gamma 90.00
loop_
_atom_site_label
_atom_site_type_symbol
_atom_site_fract_x
_atom_site_fract_y
_atom_site_fract_z
_atom_site_occupancy
Si1 Si 0.0000 0.0000 0.0000 1
S1 S 0.0000 0.0000 0.5000 1
F1 F 0.5000 0.5000 0.5000 1